Entry 1:
DFT (GGA-PBE) results for a relaxed KHgRuF6 crystal.

Cell lengths 7.4476, 7.5311, 10.7033 Å; angles 90.00, 90.00, 90.00 degrees
Closest atoms and distances in Å follow each position.
Space group Imma (No. 74)
Unique sites:
K (0.0000, 0.2500, 0.1492) (multiplicity 4)  5 F 2.83-2.98
Hg (0.2500, 0.2500, 0.7500) (multiplicity 4)  2 F 2.27
Ru (0.0000, 0.0000, 0.5000) (multiplicity 4)  6 F 1.98-2.04
F (0.0000, 0.2500, 0.5730) (multiplicity 4)  2 Ru 2.04
F (0.0000, 0.2500, 0.8712) (multiplicity 4)  2 Hg 2.27
F (0.1865, 0.0405, 0.3714) (multiplicity 16)  1 Ru 1.98


Entry 2:
DFT (GGA-PBE) results for a relaxed K2HgSbF6 crystal.

Cell lengths 9.5954, 9.5954, 9.5954 Å; angles 90.00, 90.00, 90.00 degrees
Closest atoms and distances in Å follow each position.
Space group Fm-3m (No. 225)
Unique sites:
K (0.2500, 0.2500, 0.2500) (multiplicity 8)  12 F 3.40
Hg (0.0000, 0.0000, 0.0000) (multiplicity 4)  6 F 2.69
Sb (0.0000, 0.0000, 0.5000) (multiplicity 4)  6 F 2.11
F (0.0000, 0.0000, 0.2800) (multiplicity 24)  1 Sb 2.11


Entry 3:
DFT (GGA-PBE) results for a relaxed KScHgF6 crystal.

Cell lengths 5.9789, 5.9789, 10.6343 Å; angles 90.00, 90.00, 120.00 degrees
Closest atoms and distances in Å follow each position.
Space group P-31c (No. 163)
Unique sites:
K (0.0000, 0.0000, 0.0000) (multiplicity 2)  6 F 2.71
Sc (0.3333, 0.6667, 0.2500) (multiplicity 2)  6 F 2.05
Hg (0.3333, 0.6667, 0.7500) (multiplicity 2)  6 F 2.35
F (0.0375, 0.3915, 0.1442) (multiplicity 12)  1 Sc 2.05


Entry 4:
DFT (GGA-PBE) results for a relaxed KSnHgF6 crystal.

Cell lengths 6.5958, 6.5958, 8.5024 Å; angles 90.00, 90.00, 120.00 degrees
Closest atoms and distances in Å follow each position.
Space group P-31c (No. 163)
Unique sites:
K (0.3333, 0.6667, 0.2500) (multiplicity 2)  6 F 2.77
Sn (0.3333, 0.6667, 0.7500) (multiplicity 2)  6 F 2.01
Hg (0.0000, 0.0000, 0.0000) (multiplicity 2)  6 F 2.66
F (0.0825, 0.4075, 0.6196) (multiplicity 12)  1 Sn 2.01


Entry 5:
DFT (GGA-PBE) results for a relaxed KSnHg2F8 crystal.

Cell lengths 5.0347, 7.5924, 5.6229 Å; angles 90.00, 92.24, 90.00 degrees
Closest atoms and distances in Å follow each position.
Space group P2/m (No. 10)
Unique sites:
K (0.0000, 0.0000, 0.0000) (multiplicity 1)  6 F 2.58-2.72
Sn (0.0000, 0.5000, 0.0000) (multiplicity 1)  6 F 2.02-2.05
Hg (0.5000, 0.2478, 0.5000) (multiplicity 2)  6 F 2.33-2.58
F (0.1438, 0.3078, 0.7928) (multiplicity 4)  1 Sn 2.02
F (0.3266, 0.5000, 0.2292) (multiplicity 2)  1 Sn 2.05
F (0.4311, 0.0000, 0.2622) (multiplicity 2)  2 Hg 2.33, 1 K 2.58


Entry 6:
DFT (GGA-PBE) results for a relaxed KSrHgF6 crystal.

Cell lengths 6.4018, 6.4018, 9.9584 Å; angles 90.00, 90.00, 120.00 degrees
Closest atoms and distances in Å follow each position.
Space group P-31c (No. 163)
Unique sites:
K (0.0000, 0.0000, 0.0000) (multiplicity 2)  6 F 2.69
Sr (0.3333, 0.6667, 0.2500) (multiplicity 2)  6 F 2.45
Hg (0.3333, 0.6667, 0.7500) (multiplicity 2)  6 F 2.23
F (0.0253, 0.3737, 0.6365) (multiplicity 12)  1 Hg 2.23, 1 Sr 2.45


Entry 7:
DFT (GGA-PBE) results for a relaxed K2SrHgF crystal.

Cell lengths 5.4581, 5.4581, 5.3506 Å; angles 90.00, 90.00, 90.00 degrees
Closest atoms and distances in Å follow each position.
Space group P4/mmm (No. 123)
Unique sites:
K (0.0000, 0.5000, 0.0000) (multiplicity 2)  2 F 2.73
Sr (0.0000, 0.0000, 0.5000) (multiplicity 1)  2 F 2.68
Hg (0.5000, 0.5000, 0.5000) (multiplicity 1)  8 K 3.82, 4 Sr 3.86
F (0.0000, 0.0000, 0.0000) (multiplicity 1)  2 Sr 2.68, 4 K 2.73


Entry 8:
DFT (GGA-PBE) results for a relaxed KSr2HgF8 crystal.

Cell lengths 4.3020, 5.7631, 8.1772 Å; angles 89.89, 89.99, 88.14 degrees
Closest atoms and distances in Å follow each position.
Space group P-1 (No. 2)
Unique sites:
K (0.0000, 0.0000, 0.0000) (multiplicity 1)  8 F 2.64-2.76
Sr (0.5000, 0.5004, 0.2567) (multiplicity 2)  8 F 2.48-2.60
Hg (0.0000, 0.0000, 0.5000) (multiplicity 1)  6 F 2.27-2.43
F (0.0130, 0.2519, 0.2858) (multiplicity 2)  1 Hg 2.27
F (0.0126, 0.2546, 0.7152) (multiplicity 2)  1 Hg 2.30
F (0.4770, 0.7610, 0.4998) (multiplicity 2)  2 Hg 2.43-2.68, 2 Sr 2.49
F (0.4946, 0.2721, 0.0006) (multiplicity 2)  2 Sr 2.48, 1 F 2.63, 2 K 2.64-2.68


Total energy (computed, eV per atom): -4.28; -3.98; -4.98; -4.08; -3.73; -3.99; -2.35; -4.44